Record 1
DFT (PBE) results for crystalline TiMnCuSb at its relaxed geometry.

Structure (POSCAR):
```
TiMnCuSb
1.0
-3.336 -0.951 -2.693
-0.267 -3.975 -1.845
-3.122 -2.809 1.280
Ti Sb Cu Mn
1 1 1 1
Direct
0.500 0.500 0.500
0.000 0.000 0.000
0.250 0.250 0.250
0.750 0.750 0.750
```

Computed properties:
**N(E_F)**: 0.471 states/eV/atom
**Theoretical density**: 7.99 g cm⁻³
**Formation energy from raw total energies**: -0.05 eV/f.u.
**Space-group type**: F-43m (216)



Record 2
DFT (PBE) results for crystalline NaTa2AlRu at its relaxed geometry.

Structure (POSCAR):
```
NaTa2AlRu
1.0
-0.458 0.721 -4.772
-0.226 -4.764 -0.698
-4.821 0.158 0.487
Al Ta Na Ru
1 2 1 1
Direct
0.000 0.500 0.000
0.000 0.000 0.500
0.500 0.000 0.000
0.500 0.500 0.500
0.000 0.000 0.000
```

Computed properties:
**N(E_F)**: 1.088 states/eV/atom
**Theoretical density**: 7.52 g cm⁻³
**ΔE_f**: 0.829 eV per atom
**Space-group type**: P4/mmm (123)